Run w
First-principles (PBE) data for a geometry-optimized Y5Rh3 structure, as listed in the Alexandria database.

Output
Total moment, μB/f.u.: 0.0

Unit cell a=7.542 b=10.492 c=4.698 alpha=90.00 beta=90.00 gamma=90.00
Space group Cmmm (No. 65)
One atom of each set of equivalent atoms:
Y  0.000  0.000  0.000 [2 per cell]
Y  0.212  0.500  0.500 [4 per cell]
Y  0.250  0.250  0.000 [4 per cell]
Rh  0.000  0.193  0.500 [4 per cell]
Rh  0.000  0.500  0.000 [2 per cell]



Run x
First-principles (PBE) data for a geometry-optimized Y5Rh3 structure, as listed in the Alexandria database.

Output
Total moment, μB/f.u.: 0.0

Unit cell a=6.298 b=7.509 c=8.634 alpha=87.93 beta=78.19 gamma=78.67
Space group P-1 (No. 2)
One atom of each set of equivalent atoms:
Y  0.009  0.199  0.151 [2 per cell]
Y  0.112  0.326  0.739 [2 per cell]
Y  0.269  0.953  0.461 [2 per cell]
Y  0.409  0.404  0.318 [2 per cell]
Y  0.427  0.795  0.063 [2 per cell]
Rh  0.044  0.667  0.546 [2 per cell]
Rh  0.238  0.502  0.004 [2 per cell]
Rh  0.378  0.971  0.772 [2 per cell]



Bottom line: run x, by a margin of 17.4 kJ/mol of atoms.



Run w
First-principles (PBE) data for a geometry-optimized Y5Rh3 structure, as listed in the Alexandria database.

Output
Total moment, μB/f.u.: 0.0

Unit cell a=11.072 b=11.072 c=6.141 alpha=90.00 beta=90.00 gamma=90.00
Space group I4/mcm (No. 140)
One atom of each set of equivalent atoms:
Y  0.000  0.500  0.250 [4 per cell]
Y  0.082  0.209  0.000 [16 per cell]
Rh  0.000  0.000  0.250 [4 per cell]
Rh  0.157  0.343  0.500 [8 per cell]



Run x
First-principles (PBE) data for a geometry-optimized Y5Rh3 structure, as listed in the Alexandria database.

Output
Total moment, μB/f.u.: 0.0

Unit cell a=10.954 b=10.954 c=6.378 alpha=90.00 beta=90.00 gamma=90.00
Space group P4/ncc (No. 130, origin choice 2)
One atom of each set of equivalent atoms:
Y  0.041  0.161  0.120 [16 per cell]
Y  0.250  0.750  0.000 [4 per cell]
Rh  0.096  0.596  0.750 [8 per cell]
Rh  0.250  0.250  0.373 [4 per cell]



Bottom line: run x, by a margin of 6.2 kJ/mol of atoms.



Run w
First-principles (PBE) data for a geometry-optimized Y3ZnRh structure, as listed in the Alexandria database.

Output
Total moment, μB/f.u.: 0.0

Unit cell a=6.306 b=9.438 c=16.230 alpha=90.00 beta=90.00 gamma=90.00
Space group Fmmm (No. 69)
One atom of each set of equivalent atoms:
Y  0.000  0.000  0.196 [8 per cell]
Y  0.000  0.183  0.397 [16 per cell]
Zn  0.195  0.000  0.000 [8 per cell]
Rh  0.250  0.250  0.250 [8 per cell]



Run x
First-principles (PBE) data for a geometry-optimized Y3ZnRh structure, as listed in the Alexandria database.

Output
Total moment, μB/f.u.: 0.0

Unit cell a=5.331 b=5.331 c=5.331 alpha=90.00 beta=90.00 gamma=90.00
Space group Pm-3m (No. 221)
One atom of each set of equivalent atoms:
Y  0.000  0.000  0.500 [3 per cell]
Zn  0.500  0.500  0.500 [1 per cell]
Rh  0.000  0.000  0.000 [1 per cell]



Bottom line: run w, by a margin of 31.8 kJ/mol of atoms.



Run w
First-principles (PBE) data for a geometry-optimized YZn3Rh structure, as listed in the Alexandria database.

Output
Total moment, μB/f.u.: 0.0

Unit cell a=5.270 b=5.270 c=5.270 alpha=90.00 beta=90.00 gamma=90.00
Space group Pm-3m (No. 221)
One atom of each set of equivalent atoms:
Y  0.000  0.000  0.000 [1 per cell]
Zn  0.000  0.000  0.500 [3 per cell]
Rh  0.500  0.500  0.500 [1 per cell]



Run x
First-principles (PBE) data for a geometry-optimized YZn3Rh structure, as listed in the Alexandria database.

Output
Total moment, μB/f.u.: 0.0

Unit cell a=5.468 b=5.389 c=5.929 alpha=90.00 beta=92.58 gamma=90.00
Space group P2_1/m (No. 11)
One atom of each set of equivalent atoms:
Y  0.145  0.250  0.179 [2 per cell]
Zn  0.333  0.008  0.663 [4 per cell]
Zn  0.376  0.750  0.046 [2 per cell]
Rh  0.085  0.750  0.362 [2 per cell]



Bottom line: run x, by a margin of 183.9 kJ/mol of atoms.



Run w
First-principles (PBE) data for a geometry-optimized Y6ZnRh structure, as listed in the Alexandria database.

Output
Total moment, μB/f.u.: 0.0

Unit cell a=6.7647 b=6.7647 c=18.8427 alpha=90.00 beta=90.00 gamma=120.00
Space group R-3 (No. 148, hexagonal axes)
One atom of each set of equivalent atoms:
Y  0.0046  0.3578  0.4174 [18 per cell]
Zn  0.0000  0.0000  0.5000 [3 per cell]
Rh  0.0000  0.0000  0.0000 [3 per cell]



Run x
First-principles (PBE) data for a geometry-optimized Y6ZnRh structure, as listed in the Alexandria database.

Output
Total moment, μB/f.u.: 0.0

Unit cell a=5.008 b=5.008 c=17.342 alpha=90.00 beta=90.00 gamma=90.00
Space group I4/mmm (No. 139)
One atom of each set of equivalent atoms:
Y  0.000  0.000  0.248 [4 per cell]
Y  0.000  0.500  0.098 [8 per cell]
Zn  0.000  0.000  0.000 [2 per cell]
Rh  0.000  0.000  0.500 [2 per cell]



Bottom line: run x, by a margin of 12.3 kJ/mol of atoms.



Run w
First-principles (PBE) data for a geometry-optimized Y8Zn2Rh structure, as listed in the Alexandria database.

Output
Total moment, μB/f.u.: 0.0

Unit cell a=17.583 b=5.139 c=6.749 alpha=90.00 beta=104.88 gamma=90.00
Space group C2/m (No. 12)
One atom of each set of equivalent atoms:
Y  0.028  0.000  0.284 [4 per cell]
Y  0.089  0.500  0.938 [4 per cell]
Y  0.159  0.500  0.466 [4 per cell]
Y  0.201  0.000  0.819 [4 per cell]
Zn  0.190  0.000  0.232 [4 per cell]
Rh  0.000  0.500  0.500 [2 per cell]



Run x
First-principles (PBE) data for a geometry-optimized Y8Zn2Rh structure, as listed in the Alexandria database.

Output
Total moment, μB/f.u.: 0.0

Unit cell a=7.498 b=16.050 c=6.103 alpha=90.00 beta=122.73 gamma=90.00
Space group Cm (No. 8)
One atom of each set of equivalent atoms:
Y  0.000  0.000  0.000 [2 per cell]
Y  0.009  0.119  0.527 [4 per cell]
Y  0.232  0.304  0.868 [4 per cell]
Y  0.449  0.000  0.658 [2 per cell]
Y  0.462  0.115  0.188 [4 per cell]
Zn  0.235  0.224  0.357 [4 per cell]
Rh  0.238  0.500  0.174 [2 per cell]



Bottom line: run w, by a margin of 6.0 kJ/mol of atoms.



Run w
First-principles (PBE) data for a geometry-optimized Y3Zn2Rh structure, as listed in the Alexandria database.

Output
Total moment, μB/f.u.: 0.0

Unit cell a=3.545 b=3.545 c=10.541 alpha=90.00 beta=90.00 gamma=90.00
Space group P4/mmm (No. 123)
One atom of each set of equivalent atoms:
Y  0.000  0.000  0.000 [1 per cell]
Y  0.000  0.000  0.345 [2 per cell]
Zn  0.500  0.500  0.168 [2 per cell]
Rh  0.500  0.500  0.500 [1 per cell]



Run x
First-principles (PBE) data for a geometry-optimized Y3Zn2Rh structure, as listed in the Alexandria database.

Output
Total moment, μB/f.u.: 0.0

Unit cell a=11.993 b=4.424 c=10.626 alpha=90.00 beta=90.00 gamma=90.00
Space group Pnma (No. 62)
One atom of each set of equivalent atoms:
Y  0.054  0.250  0.116 [4 per cell]
Y  0.110  0.750  0.560 [4 per cell]
Y  0.234  0.250  0.795 [4 per cell]
Zn  0.008  0.750  0.295 [4 per cell]
Zn  0.197  0.750  0.003 [4 per cell]
Rh  0.120  0.250  0.372 [4 per cell]



Bottom line: run w, by a margin of 3.9 kJ/mol of atoms.



Run w
First-principles (PBE) data for a geometry-optimized YZrRh structure, as listed in the Alexandria database.

Output
Total moment, μB/f.u.: 0.0

Unit cell a=4.719 b=12.172 c=7.033 alpha=90.00 beta=90.00 gamma=90.00
Space group Amm2 (No. 38)
One atom of each set of equivalent atoms:
Y  0.000  0.000  0.000 [2 per cell]
Y  0.000  0.206  0.381 [4 per cell]
Zr  0.500  0.000  0.331 [2 per cell]
Zr  0.500  0.129  0.716 [4 per cell]
Rh  0.000  0.000  0.589 [2 per cell]
Rh  0.500  0.166  0.087 [4 per cell]



Run x
First-principles (PBE) data for a geometry-optimized YZrRh structure, as listed in the Alexandria database.

Output
Total moment, μB/f.u.: 0.0

Unit cell a=6.627 b=6.627 c=6.627 alpha=90.00 beta=90.00 gamma=90.00
Space group F-43m (No. 216)
One atom of each set of equivalent atoms:
Y  0.000  0.000  0.000 [4 per cell]
Zr  0.000  0.000  0.500 [4 per cell]
Rh  0.250  0.250  0.250 [4 per cell]



Run y
First-principles (PBE) data for a geometry-optimized YZrRh structure, as listed in the Alexandria database.

Output
Total moment, μB/f.u.: 0.0

Unit cell a=4.612 b=4.612 c=6.666 alpha=90.00 beta=90.00 gamma=90.00
Space group P4/nmm (No. 129, origin choice 2)
One atom of each set of equivalent atoms:
Y  0.250  0.250  0.130 [2 per cell]
Zr  0.250  0.750  0.500 [2 per cell]
Rh  0.250  0.250  0.708 [2 per cell]



Bottom line: run w, by a margin of 1.5 kJ/mol of atoms.



Run w
First-principles (PBE) data for a geometry-optimized YZrRh structure, as listed in the Alexandria database.

Output
Total moment, μB/f.u.: 0.0

Unit cell a=4.6944 b=4.6944 c=3.3699 alpha=90.00 beta=90.00 gamma=120.00
Space group P3m1 (No. 156)
One atom of each set of equivalent atoms:
Y  0.0000  0.0000  0.0000 [1 per cell]
Zr  0.6667  0.3333  0.4317 [1 per cell]
Rh  0.3333  0.6667  0.6541 [1 per cell]



Run x
First-principles (PBE) data for a geometry-optimized YZrRh structure, as listed in the Alexandria database.

Output
Total moment, μB/f.u.: 0.0

Unit cell a=3.600 b=4.846 c=7.726 alpha=90.00 beta=90.00 gamma=90.00
Space group Pmmn (No. 59, origin choice 2)
One atom of each set of equivalent atoms:
Y  0.250  0.250  0.144 [2 per cell]
Zr  0.250  0.750  0.473 [2 per cell]
Rh  0.250  0.250  0.777 [2 per cell]



Run y
First-principles (PBE) data for a geometry-optimized YZrRh structure, as listed in the Alexandria database.

Output
Total moment, μB/f.u.: 0.5

Unit cell a=3.418 b=3.418 c=11.311 alpha=90.00 beta=90.00 gamma=90.00
Space group I4mm (No. 107)
One atom of each set of equivalent atoms:
Y  0.000  0.000  0.000 [2 per cell]
Zr  0.000  0.000  0.709 [2 per cell]
Rh  0.000  0.000  0.331 [2 per cell]



Bottom line: run x, by a margin of 10.9 kJ/mol of atoms.



Run w
First-principles (PBE) data for a geometry-optimized YZr3Rh structure, as listed in the Alexandria database.

Output
Total moment, μB/f.u.: 0.0

Unit cell a=5.070 b=5.070 c=5.070 alpha=90.00 beta=90.00 gamma=90.00
Space group Pm-3m (No. 221)
One atom of each set of equivalent atoms:
Y  0.000  0.000  0.000 [1 per cell]
Zr  0.000  0.000  0.500 [3 per cell]
Rh  0.500  0.500  0.500 [1 per cell]



Run x
First-principles (PBE) data for a geometry-optimized YZr3Rh structure, as listed in the Alexandria database.

Output
Total moment, μB/f.u.: 0.0

Unit cell a=5.096 b=5.096 c=5.096 alpha=90.00 beta=90.00 gamma=90.00
Space group Pm-3m (No. 221)
One atom of each set of equivalent atoms:
Y  0.000  0.000  0.000 [1 per cell]
Zr  0.000  0.500  0.500 [3 per cell]
Rh  0.500  0.500  0.500 [1 per cell]



Bottom line: run x, by a margin of 146.0 kJ/mol of atoms.